This record from the Alexandria database describes a relaxed structure of HgAs2. The functional is PBEsol.

The space group is P-62m (No. 189) and the conventional cell measures 8.5791, 8.5791 and 3.5309 Å, with angles of 90.00, 90.00 and 120.00 degrees. The inequivalent atoms are Hg at (0.0000, 0.0000, 0.0000), Hg at (0.3333, 0.6667, 0.5000), As at (0.0000, 0.4465, 0.0000) and As at (0.0000, 0.6504, 0.5000).

The calculation puts the energy relative to the elements at 311 meV per atom. As for the total energy: -3.28 eV/atom.